Record 1
Entry from Alexandria: crystalline Ti3Bi4O12 at its relaxed geometry (PBEsol).

```
Ti3Bi4O12
1.0
5.373 0.000 0.000
0.000 5.417 0.004
-2.687 -0.013 16.484
O Ti Bi
24 6 8
direct
0.377 0.536 0.137
0.208 0.344 0.511
0.502 0.736 0.001
0.015 0.067 0.379
0.622 0.564 0.612
0.672 0.767 0.279
0.499 0.236 0.001
0.303 0.844 0.511
0.002 0.732 0.002
0.761 0.036 0.137
0.341 0.769 0.721
0.179 0.849 0.248
0.069 0.349 0.248
0.000 0.232 0.002
0.606 0.267 0.279
0.702 0.264 0.476
0.225 0.027 0.863
0.991 0.064 0.612
0.364 0.567 0.379
0.834 0.825 0.744
0.774 0.764 0.476
0.910 0.325 0.744
0.638 0.527 0.863
0.380 0.269 0.721
0.628 0.525 0.758
0.130 0.025 0.758
0.494 0.521 0.496
0.368 0.530 0.243
0.002 0.021 0.496
0.875 0.030 0.243
0.711 0.969 0.925
0.062 0.483 0.633
0.930 0.486 0.368
0.782 0.463 0.081
0.214 0.469 0.925
0.299 0.963 0.081
0.571 0.983 0.633
0.438 0.986 0.368
```

Space group: No. 9
Final energy: -145.96 eV per formula unit


Record 2
Entry from Alexandria: crystalline Y4Ti6Bi2O21 at its relaxed geometry (PBEsol).

```
Y4Ti6Bi2O21
1.0
-2.672 -4.471 -4.883
1.111 -5.531 4.456
-13.154 6.878 6.017
O Y Ti Bi
42 8 12 4
direct
0.277 0.027 0.054
0.058 0.307 0.614
0.331 0.170 0.749
0.005 0.158 0.915
0.663 0.504 0.417
0.951 0.210 0.421
0.391 0.641 0.282
0.616 0.876 0.752
0.477 0.224 0.448
0.705 0.455 0.909
0.747 0.089 0.582
0.995 0.243 0.085
0.337 0.496 0.583
0.295 0.545 0.091
0.855 0.111 0.221
0.412 0.757 0.916
0.080 0.423 0.249
0.669 0.830 0.251
0.807 0.559 0.118
0.384 0.124 0.248
0.331 0.579 0.749
0.920 0.577 0.751
0.588 0.243 0.084
0.588 0.841 0.084
0.995 0.842 0.085
0.049 0.790 0.579
0.145 0.889 0.779
0.080 0.827 0.249
0.523 0.776 0.552
0.337 0.087 0.583
0.942 0.693 0.386
0.663 0.913 0.417
0.723 0.973 0.946
0.005 0.757 0.915
0.609 0.359 0.718
0.412 0.159 0.916
0.920 0.173 0.751
0.669 0.421 0.251
0.193 0.441 0.882
0.253 0.911 0.418
0.747 0.493 0.582
0.253 0.507 0.418
0.000 0.500 0.500
0.667 0.167 0.334
0.000 0.000 0.500
0.333 0.833 0.666
0.333 0.332 0.168
0.333 0.836 0.168
0.667 0.668 0.832
0.667 0.164 0.832
0.831 0.835 0.168
0.831 0.333 0.168
0.666 0.667 0.334
0.169 0.165 0.832
0.500 0.000 0.500
0.834 0.333 0.667
0.169 0.667 0.832
0.000 0.000 0.000
0.500 0.500 0.500
0.500 0.000 0.000
0.166 0.667 0.333
0.334 0.333 0.666
0.833 0.833 0.665
0.000 0.500 0.000
0.167 0.167 0.335
0.500 0.500 0.000
```

Space group: No. 12
Final energy: -294.95 eV per formula unit


Record 3
Entry from Alexandria: crystalline TlBiW2O8 at its relaxed geometry (PBEsol).

```
TlBiW2O8
1.0
7.529 -0.003 -0.003
3.532 6.739 -0.018
3.532 -1.735 6.512
W Bi O Tl
4 2 16 2
direct
0.730 0.302 0.307
0.230 0.307 0.302
0.270 0.698 0.693
0.770 0.693 0.698
0.250 0.776 0.224
0.750 0.224 0.776
0.476 0.585 0.372
0.366 0.385 0.069
0.524 0.415 0.628
0.946 0.376 0.245
0.446 0.245 0.376
0.684 0.953 0.790
0.976 0.372 0.585
0.184 0.790 0.953
0.054 0.624 0.755
0.634 0.615 0.931
0.024 0.628 0.415
0.866 0.069 0.385
0.554 0.755 0.624
0.316 0.047 0.210
0.816 0.210 0.047
0.134 0.931 0.615
0.750 0.788 0.212
0.250 0.212 0.788
```

Space group: No. 15
Final energy: -98.66 eV per formula unit


Record 4
Entry from Alexandria: crystalline TmBiO3 at its relaxed geometry (PBEsol).

```
TmBiO3
1.0
5.897 0.000 0.000
2.949 5.107 0.000
2.949 1.702 4.904
Tm O Bi
2 6 2
direct
0.142 0.142 0.573
0.858 0.858 0.427
0.787 0.454 0.752
0.006 0.787 0.752
0.213 0.546 0.248
0.454 0.006 0.752
0.994 0.213 0.248
0.546 0.994 0.248
0.639 0.639 0.082
0.361 0.361 0.918
```

Space group: No. 148
Final energy: -37.09 eV per formula unit


Record 5
Entry from Alexandria: crystalline TmBiO3 at its relaxed geometry (PBEsol).

```
TmBiO3
1.0
5.899 0.000 0.000
2.949 5.109 0.000
2.949 1.703 4.928
O Bi Tm
6 2 2
direct
0.086 0.425 0.849
0.586 0.140 0.349
0.425 0.640 0.849
0.925 0.586 0.349
0.140 0.925 0.349
0.640 0.086 0.849
0.494 0.494 0.519
0.994 0.994 0.019
0.777 0.777 0.668
0.277 0.277 0.168
```

Space group: No. 161
Final energy: -37.20 eV per formula unit


Record 6
Entry from Alexandria: crystalline VBiO3 at its relaxed geometry (PBEsol).

```
VBiO3
1.0
-1.176 -4.238 3.116
4.622 0.930 3.009
-4.017 4.606 4.747
V O Bi
4 12 4
direct
0.500 0.500 0.000
0.500 0.500 0.500
0.000 0.000 0.500
0.000 0.000 0.000
0.300 0.796 0.543
0.589 0.476 0.750
0.411 0.524 0.250
0.800 0.704 0.457
0.300 0.796 0.957
0.200 0.296 0.957
0.089 0.024 0.250
0.800 0.704 0.043
0.200 0.296 0.543
0.911 0.976 0.750
0.700 0.204 0.043
0.700 0.204 0.457
0.011 0.550 0.750
0.489 0.050 0.750
0.511 0.950 0.250
0.989 0.450 0.250
```

Space group: No. 62
Final energy: -38.42 eV per formula unit


Record 7
Entry from Alexandria: crystalline Bi14WO24 at its relaxed geometry (PBEsol).

```
Bi14WO24
1.0
-1.736 -8.261 -2.009
3.506 -2.505 7.563
-6.731 -4.670 6.583
Bi O W
14 24 1
direct
0.714 0.528 0.344
0.792 0.445 0.001
0.660 0.659 0.678
0.556 0.788 0.998
0.273 0.456 0.671
0.939 0.122 0.343
0.872 0.272 0.670
0.052 0.869 0.667
0.211 0.543 0.003
0.460 0.047 0.670
0.531 0.937 0.344
0.127 0.713 0.338
0.342 0.338 0.323
0.447 0.204 0.004
0.493 0.324 0.497
0.394 0.445 0.846
0.619 0.112 0.766
0.549 0.234 0.161
0.759 0.704 0.839
0.177 0.492 0.494
0.665 0.980 0.515
0.600 0.546 0.162
0.991 0.821 0.508
0.293 0.596 0.160
0.203 0.968 0.965
0.238 0.287 0.161
0.005 0.165 0.502
0.989 0.222 0.988
0.452 0.753 0.841
0.706 0.389 0.846
0.380 0.879 0.239
0.878 0.378 0.244
0.881 0.871 0.241
0.114 0.613 0.764
0.825 0.492 0.512
0.329 0.003 0.497
0.873 0.934 0.947
0.494 0.660 0.515
0.987 0.999 0.032
```

Space group: No. 1
Final energy: -252.06 eV per formula unit


Record 8
Entry from Alexandria: crystalline Bi3WO at its relaxed geometry (PBEsol).

```
Bi3WO
1.0
5.233 0.000 0.000
0.000 5.233 0.000
0.000 0.000 5.233
Bi O W
3 1 1
direct
0.000 0.000 0.500
0.500 0.000 0.000
0.000 0.500 0.000
0.500 0.500 0.500
0.000 0.000 0.000
```

Space group: No. 221
Final energy: -26.95 eV per formula unit


Record 9
Entry from Alexandria: crystalline Y2Bi2O7 at its relaxed geometry (PBEsol).

```
Y2Bi2O7
1.0
7.631 0.000 0.000
3.816 6.609 0.000
3.816 2.203 6.231
O Y Bi
14 4 4
direct
0.729 0.271 0.271
0.000 0.000 0.000
0.521 0.979 0.979
0.250 0.250 0.250
0.729 0.729 0.271
0.271 0.729 0.729
0.271 0.271 0.729
0.979 0.979 0.521
0.521 0.521 0.979
0.271 0.729 0.271
0.729 0.271 0.729
0.521 0.979 0.521
0.979 0.521 0.521
0.979 0.521 0.979
0.125 0.125 0.625
0.125 0.125 0.125
0.625 0.125 0.125
0.125 0.625 0.125
0.625 0.625 0.625
0.125 0.625 0.625
0.625 0.125 0.625
0.625 0.625 0.125
```

Space group: No. 227
Final energy: -82.37 eV per formula unit


Record 10
Entry from Alexandria: crystalline YBiO3 at its relaxed geometry (PBEsol).

```
YBiO3
1.0
5.957 0.000 0.000
2.978 5.159 0.000
2.978 1.720 4.978
O Y Bi
6 2 2
direct
0.354 0.583 0.153
0.410 0.083 0.653
0.854 0.410 0.653
0.583 0.910 0.153
0.910 0.354 0.153
0.083 0.854 0.653
0.724 0.724 0.828
0.224 0.224 0.328
0.008 0.008 0.977
0.508 0.508 0.477
```

Space group: No. 161
Final energy: -38.89 eV per formula unit


Record 11
Entry from Alexandria: crystalline Y2Bi2O7 at its relaxed geometry (PBEsol).

```
Y2Bi2O7
1.0
5.807 0.009 0.012
-0.593 5.925 0.041
-0.593 -1.685 5.681
O Y Bi
7 2 2
direct
0.500 0.000 0.000
0.817 0.946 0.584
0.183 0.416 0.054
0.253 0.542 0.542
0.747 0.458 0.458
0.817 0.584 0.946
0.183 0.054 0.416
0.000 0.693 0.307
0.000 0.307 0.693
0.397 0.261 0.261
0.603 0.739 0.739
```

Space group: No. 12
Final energy: -81.96 eV per formula unit


Record 12
Entry from Alexandria: crystalline YBi3O6 at its relaxed geometry (PBEsol).

```
YBi3O6
1.0
6.919 -0.016 -0.017
-0.352 6.910 -0.017
-0.352 -0.369 6.900
O Bi Y
12 6 2
direct
0.400 0.527 0.189
0.189 0.400 0.527
0.072 0.691 0.928
0.309 0.072 0.928
0.691 0.928 0.072
0.473 0.811 0.600
0.928 0.072 0.691
0.811 0.600 0.473
0.527 0.189 0.400
0.928 0.309 0.072
0.072 0.928 0.309
0.600 0.473 0.811
0.251 0.070 0.556
0.930 0.444 0.749
0.444 0.749 0.930
0.070 0.556 0.251
0.749 0.930 0.444
0.556 0.251 0.070
0.500 0.500 0.500
0.000 0.000 0.000
```

Space group: No. 148
Final energy: -69.05 eV per formula unit


Number 1: formation energy without anion corrections -40.86 eV per formula unit. Number 2: formation energy without anion corrections -98.92 eV per formula unit. Number 3: formation energy without anion corrections -22.14 eV per formula unit. Number 4: formation energy without anion corrections -12.16 eV per formula unit. Number 5: formation energy without anion corrections -12.27 eV per formula unit. Number 6: formation energy without anion corrections -8.75 eV per formula unit. Number 7: formation energy without anion corrections -52.27 eV per formula unit. Number 8: formation energy without anion corrections 4.96 eV per formula unit. Number 9: formation energy without anion corrections -23.41 eV per formula unit. Number 10: formation energy without anion corrections -12.03 eV per formula unit. Number 11: formation energy without anion corrections -23.00 eV per formula unit. Number 12: formation energy without anion corrections -17.87 eV per formula unit.